[1]
First-principles (GGA-PBE) data for a relaxed Pr4CuS7 crystal, as listed in the Alexandria database.

a b c (Å): 9.7420 9.7420 7.2666
angles (deg): 90.00 90.00 120.00
Space group P6_3 (No. 173)
Inequivalent atoms, fractional coordinates:
Pr1 0.1717 0.3729 0.0000 [6 per cell]
Pr2 0.3333 0.6667 0.4600 [2 per cell]
Cu1 0.0000 0.0000 0.1360 [2 per cell]
S1 0.0729 0.5476 0.2356 [6 per cell]
S2 0.1235 0.2618 0.6112 [6 per cell]
S3 0.3333 0.6667 0.8345 [2 per cell]

Computed properties:
E   -5.984 eV/atom
Uncorrected formation energy   -1642 meV/atom
Magnetization   0.0 μB/cell

=====

[2]
First-principles (GGA-PBE) data for a relaxed La6Nd3Tl crystal, as listed in the Alexandria database.

a b c (Å): 12.4216 3.7146 15.6602
angles (deg): 90.00 99.24 90.00
Space group P2_1/m (No. 11)
Inequivalent atoms, fractional coordinates:
La1 0.0756 0.2500 0.3976 [2 per cell]
La2 0.1142 0.7500 0.9621 [2 per cell]
La3 0.1814 0.2500 0.7561 [2 per cell]
La4 0.3190 0.2500 0.1216 [2 per cell]
La5 0.3220 0.7500 0.3317 [2 per cell]
La6 0.3993 0.2500 0.5315 [2 per cell]
Nd1 0.0851 0.7500 0.1876 [2 per cell]
Nd2 0.3876 0.7500 0.9318 [2 per cell]
Nd3 0.4385 0.7500 0.7255 [2 per cell]
Tl1 0.1907 0.7500 0.5749 [2 per cell]

Computed properties:
Formation enthalpy at 0 K   -19 meV per atom
E   -4.642 eV/atom
Magnetization   0.0 μB/cell

=====

[3]
First-principles (GGA-PBE) data for a relaxed Zr2CoAs crystal, as listed in the Alexandria database.

a b c (Å): 3.7552 3.7552 5.4992
angles (deg): 90.00 90.00 90.00
Space group P4mm (No. 99)
Inequivalent atoms, fractional coordinates:
Zr1 0.0000 0.0000 0.0000 [1 per cell]
Zr2 0.5000 0.5000 0.4336 [1 per cell]
Co1 0.5000 0.5000 0.9781 [1 per cell]
As1 0.0000 0.0000 0.5066 [1 per cell]

Computed properties:
Formation enthalpy at 0 K   -450 meV per atom
E   -7.663 eV/atom
Magnetization   0.0 μB/cell

=====

[4]
First-principles (GGA-PBE) data for a relaxed ZnPbCl2 crystal, as listed in the Alexandria database.

a b c (Å): 3.9832 3.9832 25.6179
angles (deg): 90.00 90.00 120.00
Space group R3m (No. 160, hexagonal axes)
Inequivalent atoms, fractional coordinates:
Zn1 0.0000 0.0000 0.0000 [3 per cell]
Pb1 0.0000 0.0000 0.2506 [3 per cell]
Cl1 0.0000 0.0000 0.5162 [3 per cell]
Cl2 0.0000 0.0000 0.7128 [3 per cell]

Computed properties:
E   -2.803 eV/atom
Uncorrected formation energy   -634 meV/atom
Magnetization   0.0 μB/cell

=====

[5]
First-principles (GGA-PBE) data for a relaxed Tb5TcBi2 crystal, as listed in the Alexandria database.

a b c (Å): 5.6107 16.3011 13.7235
angles (deg): 90.00 90.00 90.00
Space group Cmcm (No. 63)
Inequivalent atoms, fractional coordinates:
Tb1 0.0000 0.0550 0.1150 [8 per cell]
Tb2 0.0000 0.2754 0.0968 [8 per cell]
Tb3 0.0000 0.3013 0.7500 [4 per cell]
Tc1 0.0000 0.1667 0.2500 [4 per cell]
Bi1 0.0000 0.1427 0.5915 [8 per cell]

Computed properties:
Formation enthalpy at 0 K   -82 meV per atom
E   -5.242 eV/atom
Magnetization   0.0 μB/cell

=====

[6]
First-principles (GGA-PBE) data for a relaxed LiSb3Au crystal, as listed in the Alexandria database.

a b c (Å): 10.1092 8.2306 6.8171
angles (deg): 90.00 111.01 90.00
Space group C2/m (No. 12)
Inequivalent atoms, fractional coordinates:
Li1 0.0593 0.0000 0.2968 [4 per cell]
Sb1 0.0644 0.5000 0.2320 [4 per cell]
Sb2 0.2025 0.2287 0.7199 [8 per cell]
Au1 0.2046 0.0000 0.0292 [4 per cell]

Computed properties:
E   -3.643 eV/atom
Uncorrected formation energy   -131 meV/atom
Magnetization   0.0 μB/cell

=====

[7]
First-principles (GGA-PBE) data for a relaxed Ho2TmAu3 crystal, as listed in the Alexandria database.

a b c (Å): 3.5526 3.5526 10.8292
angles (deg): 90.00 90.00 90.00
Space group P4/mmm (No. 123)
Inequivalent atoms, fractional coordinates:
Ho1 0.0000 0.0000 0.1677 [2 per cell]
Tm1 0.0000 0.0000 0.5000 [1 per cell]
Au1 0.5000 0.5000 0.0000 [1 per cell]
Au2 0.5000 0.5000 0.3365 [2 per cell]

Computed properties:
Formation enthalpy at 0 K   -882 meV per atom
E   -4.792 eV/atom
Magnetization   0.0 μB/cell

=====

[8]
First-principles (GGA-PBE) data for a relaxed InSbRhI2 crystal, as listed in the Alexandria database.

a b c (Å): 5.7480 5.7480 4.9851
angles (deg): 90.00 90.00 90.00
Space group P4/mmm (No. 123)
Inequivalent atoms, fractional coordinates:
In1 0.0000 0.0000 0.0000 [1 per cell]
Sb1 0.5000 0.5000 0.0000 [1 per cell]
Rh1 0.5000 0.5000 0.5000 [1 per cell]
I1 0.0000 0.5000 0.5000 [2 per cell]

Computed properties:
E   -3.417 eV/atom
Uncorrected formation energy   46 meV/atom
Magnetization   0.0 μB/cell

=====

[9]
First-principles (GGA-PBE) data for a relaxed Hg3CO3 crystal, as listed in the Alexandria database.

a b c (Å): 7.0167 7.0167 6.6601
angles (deg): 90.00 90.00 120.00
Space group P6_3/mmc (No. 194)
Inequivalent atoms, fractional coordinates:
Hg1 0.1894 0.3788 0.2500 [6 per cell]
C1 0.3333 0.6667 0.7500 [2 per cell]
O1 0.2265 0.4530 0.7500 [6 per cell]

Computed properties:
E   -4.077 eV/atom
Uncorrected formation energy   -505 meV/atom
Magnetization   0.0 μB/cell

=====

[10]
First-principles (GGA-PBE) data for a relaxed Tb3CeNd2Se6 crystal, as listed in the Alexandria database.

a b c (Å): 18.1796 4.1270 8.3942
angles (deg): 90.00 104.09 90.00
Space group C2/m (No. 12)
Inequivalent atoms, fractional coordinates:
Tb1 0.0000 0.0000 0.0000 [2 per cell]
Tb2 0.1676 0.5000 0.3347 [4 per cell]
Ce1 0.0000 0.0000 0.5000 [2 per cell]
Nd1 0.1661 0.5000 0.8321 [4 per cell]
Se1 0.0032 0.5000 0.2445 [4 per cell]
Se2 0.1643 0.0000 0.0904 [4 per cell]
Se3 0.1687 0.0000 0.5762 [4 per cell]

Computed properties:
E   -5.997 eV/atom
Uncorrected formation energy   -1808 meV/atom
Magnetization   2.4 μB/cell

=====

[11]
First-principles (GGA-PBE) data for a relaxed Nd8Cu2Pd crystal, as listed in the Alexandria database.

a b c (Å): 18.2596 5.2073 6.9269
angles (deg): 90.00 106.50 90.00
Space group C2/m (No. 12)
Inequivalent atoms, fractional coordinates:
Nd1 0.0298 0.0000 0.2866 [4 per cell]
Nd2 0.0912 0.5000 0.9606 [4 per cell]
Nd3 0.1708 0.5000 0.4935 [4 per cell]
Nd4 0.1991 0.0000 0.8432 [4 per cell]
Cu1 0.1794 0.0000 0.2382 [4 per cell]
Pd1 0.0000 0.5000 0.5000 [2 per cell]

Computed properties:
Formation enthalpy at 0 K   -164 meV per atom
E   -4.849 eV/atom
Magnetization   0.0 μB/cell